## ScBe2Ni (PBEsol)

Data for a relaxed structure of ScBe2Ni.

Computed properties:
Energy of formation from the pure elements ... -0.841 eV per formula unit
Total DFT energy (no corrections) ... -21.6 eV/cell
DOS(E_F) ... 1.56 states/eV/f.u.
Symmetry ... Fm-3m (225)

a = 4.0104 Å, b = 4.0104 Å, c = 4.0104 Å
α = 60.00°, β = 60.00°, γ = 60.00°
Last column: nearest neighbours and their distance in Å.
Sites, in units of the cell vectors:
Be: 0.2500 0.2500 0.2500  4 Ni 2.46, 4 Sc 2.46
Be: 0.7500 0.7500 0.7500  4 Sc 2.46, 4 Ni 2.46
Ni: 0.0000 0.0000 0.0000  8 Be 2.46
Sc: 0.5000 0.5000 0.5000  8 Be 2.46